No. 1
Re3AuN | Alexandria via LeMat-Bulk | GGA-PBE | relaxed; magnetic moment = 0.00 Bohr magnetons per cell; space group = No. 221; formation energy (no corrections) = 0.437 eV/atom; energy = -9.35 eV/atom; relative energy among the computed polymorphs = 0.000 eV per atom
1.0
4.097 0.000 0.000
0.000 4.097 0.000
0.000 0.000 4.097
Re Au N
3 1 1
Direct
0.000 0.000 0.500
0.000 0.500 0.000
0.500 0.000 0.000
0.500 0.500 0.500
0.000 0.000 0.000

No. 2
ReAuN3 | Alexandria via LeMat-Bulk | GGA-PBE | relaxed; magnetic moment = 0.00 Bohr magnetons per cell; space group = No. 221; formation energy (no corrections) = 1.114 eV/atom; energy = -7.03 eV/atom
1.0
3.927 0.000 0.000
0.000 3.927 0.000
0.000 0.000 3.927
Re Au N
1 1 3
Direct
0.000 0.000 0.000
0.500 0.500 0.500
0.000 0.000 0.500
0.000 0.500 0.000
0.500 0.000 0.000

No. 3
Re3AuN | Alexandria via LeMat-Bulk | GGA-PBE | relaxed; magnetic moment = 4.41 Bohr magnetons per cell; space group = No. 221; formation energy (no corrections) = 4.147 eV/atom; energy = -5.64 eV/atom; relative energy among the computed polymorphs = 3.709 eV per atom
1.0
4.913 0.000 0.000
0.000 4.913 0.000
0.000 0.000 4.913
Re Au N
3 1 1
Direct
0.000 0.000 0.500
0.000 0.500 0.000
0.500 0.000 0.000
0.000 0.000 0.000
0.500 0.500 0.500

No. 4
ReAu3N | Alexandria via LeMat-Bulk | GGA-PBE | relaxed; magnetic moment = 0.00 Bohr magnetons per cell; space group = No. 221; formation energy (no corrections) = 2.581 eV/atom; energy = -3.54 eV/atom; relative energy among the computed polymorphs = 1.094 eV per atom
1.0
5.006 0.000 0.000
0.000 5.006 0.000
0.000 0.000 5.006
Re Au N
1 3 1
Direct
0.000 0.000 0.000
0.000 0.000 0.500
0.000 0.500 0.000
0.500 0.000 0.000
0.500 0.500 0.500

No. 5
ReAu3N | Alexandria via LeMat-Bulk | GGA-PBE | relaxed; magnetic moment = 2.77 Bohr magnetons per cell; space group = No. 221; formation energy (no corrections) = 1.487 eV/atom; energy = -4.63 eV/atom; relative energy among the computed polymorphs = 0.000 eV per atom
1.0
4.347 0.000 0.000
0.000 4.347 0.000
0.000 0.000 4.347
Re Au N
1 3 1
Direct
0.000 0.000 0.000
0.000 0.500 0.500
0.500 0.000 0.500
0.500 0.500 0.000
0.500 0.500 0.500

No. 6
ReAuN3 | Alexandria via LeMat-Bulk | GGA-PBE | relaxed; magnetic moment = 1.95 Bohr magnetons per cell; space group = No. 221; formation energy (no corrections) = 2.874 eV/atom; energy = -5.27 eV/atom
1.0
3.978 0.000 0.000
0.000 3.978 0.000
0.000 0.000 3.978
Re Au N
1 1 3
Direct
0.000 0.000 0.000
0.500 0.500 0.500
0.000 0.500 0.500
0.500 0.000 0.500
0.500 0.500 0.000

No. 7
ReAuN | Alexandria via LeMat-Bulk | GGA-PBE | relaxed; magnetic moment = 0.00 Bohr magnetons per cell; space group = No. 29; formation energy (no corrections) = 0.388 eV/atom; energy = -7.63 eV/atom
1.0
5.893 0.000 0.000
0.000 6.550 0.000
0.000 0.000 4.942
Re Au N
4 4 4
Direct
0.154 0.157 0.000
0.346 0.157 0.500
0.654 0.843 0.000
0.846 0.843 0.500
0.109 0.513 0.692
0.391 0.513 0.192
0.609 0.487 0.692
0.891 0.487 0.192
0.092 0.014 0.641
0.408 0.014 0.141
0.592 0.986 0.641
0.908 0.986 0.141

No. 8
ReAu2N | Alexandria via LeMat-Bulk | GGA-PBE | relaxed; magnetic moment = 1.95 Bohr magnetons per cell; space group = No. 122; formation energy (no corrections) = 0.999 eV/atom; energy = -5.83 eV/atom
1.0
-4.291 4.291 1.908
4.291 -4.291 1.908
4.291 4.291 -1.908
Re Au N
2 4 2
Direct
0.000 0.000 0.000
0.750 0.250 0.500
0.239 0.625 0.114
0.375 0.489 0.614
0.511 0.125 0.886
0.875 0.761 0.386
0.250 0.750 0.500
0.500 0.500 0.000

No. 9
ReAuS2N | Alexandria via LeMat-Bulk | GGA-PBE | relaxed; magnetic moment = 0.00 Bohr magnetons per cell; space group = No. 123; formation energy (no corrections) = 0.496 eV/atom; energy = -5.96 eV/atom; relative energy among the computed polymorphs = 0.000 eV per atom
1.0
4.787 0.000 0.000
0.000 4.787 0.000
0.000 0.000 3.738
Re Au S N
1 1 2 1
Direct
0.000 0.000 0.000
0.500 0.500 0.500
0.000 0.500 0.000
0.500 0.000 0.000
0.000 0.000 0.500

No. 10
ReAuS2N | Alexandria via LeMat-Bulk | GGA-PBE | relaxed; magnetic moment = 4.06 Bohr magnetons per cell; space group = No. 123; formation energy (no corrections) = 1.938 eV/atom; energy = -4.52 eV/atom; relative energy among the computed polymorphs = 1.442 eV per atom
1.0
5.006 0.000 0.000
0.000 5.006 0.000
0.000 0.000 3.747
Re Au S N
1 1 2 1
Direct
0.000 0.000 0.000
0.500 0.500 0.500
0.000 0.500 0.500
0.500 0.000 0.500
0.500 0.500 0.000

No. 11
ReAuSe2N | Alexandria via LeMat-Bulk | GGA-PBE | relaxed; magnetic moment = 0.00 Bohr magnetons per cell; space group = No. 123; formation energy (no corrections) = 0.470 eV/atom; energy = -5.73 eV/atom; relative energy among the computed polymorphs = 0.000 eV per atom
1.0
5.041 0.000 0.000
0.000 5.041 0.000
0.000 0.000 3.732
Re Au Se N
1 1 2 1
Direct
0.000 0.000 0.000
0.500 0.500 0.500
0.000 0.500 0.000
0.500 0.000 0.000
0.000 0.000 0.500

No. 12
ReAuSe2N | Alexandria via LeMat-Bulk | GGA-PBE | relaxed; magnetic moment = 3.46 Bohr magnetons per cell; space group = No. 123; formation energy (no corrections) = 1.821 eV/atom; energy = -4.38 eV/atom; relative energy among the computed polymorphs = 1.351 eV per atom
1.0
5.265 0.000 0.000
0.000 5.265 0.000
0.000 0.000 3.711
Re Au Se N
1 1 2 1
Direct
0.000 0.000 0.000
0.500 0.500 0.500
0.000 0.500 0.500
0.500 0.000 0.500
0.500 0.500 0.000

No. 13
Sr2ReAuN | Alexandria via LeMat-Bulk | GGA-PBE | relaxed; magnetic moment = 0.00 Bohr magnetons per cell; space group = No. 123; formation energy (no corrections) = -0.331 eV/atom; energy = -5.81 eV/atom
1.0
5.476 0.000 0.000
0.000 5.476 0.000
0.000 0.000 3.848
Sr Re Au N
2 1 1 1
Direct
0.000 0.500 0.000
0.500 0.000 0.000
0.000 0.000 0.500
0.500 0.500 0.500
0.000 0.000 0.000

No. 14
ReTeAuN2 | Alexandria via LeMat-Bulk | GGA-PBE | relaxed; magnetic moment = 0.00 Bohr magnetons per cell; space group = No. 123; formation energy (no corrections) = 0.471 eV/atom; energy = -6.63 eV/atom; relative energy among the computed polymorphs = 0.000 eV per atom
1.0
3.871 0.000 0.000
0.000 3.871 0.000
0.000 0.000 5.913
Re Te Au N
1 1 1 2
Direct
0.000 0.000 0.000
0.000 0.000 0.500
0.500 0.500 0.500
0.000 0.500 0.000
0.500 0.000 0.000

No. 15
ReTeAuN2 | Alexandria via LeMat-Bulk | GGA-PBE | relaxed; magnetic moment = 2.85 Bohr magnetons per cell; space group = No. 123; formation energy (no corrections) = 2.374 eV/atom; energy = -4.73 eV/atom; relative energy among the computed polymorphs = 1.903 eV per atom
1.0
3.867 0.000 0.000
0.000 3.867 0.000
0.000 0.000 7.497
Re Te Au N
1 1 1 2
Direct
0.000 0.000 0.000
0.500 0.500 0.000
0.500 0.500 0.500
0.000 0.500 0.500
0.500 0.000 0.500

No. 16
Rh3AuN | Alexandria via LeMat-Bulk | GGA-PBE | relaxed; magnetic moment = 6.26 Bohr magnetons per cell; space group = No. 221; formation energy (no corrections) = 2.725 eV/atom; energy = -4.01 eV/atom; relative energy among the computed polymorphs = 2.488 eV per atom
1.0
4.959 0.000 0.000
0.000 4.959 0.000
0.000 0.000 4.959
Rh Au N
3 1 1
Direct
0.000 0.000 0.500
0.000 0.500 0.000
0.500 0.000 0.000
0.000 0.000 0.000
0.500 0.500 0.500

No. 17
RhAu2N2 | Alexandria via LeMat-Bulk | GGA-PBE | relaxed; magnetic moment = 0.00 Bohr magnetons per cell; space group = No. 127; formation energy (no corrections) = 0.940 eV/atom; energy = -5.17 eV/atom; relative energy among the computed polymorphs = 0.000 eV per atom
1.0
5.721 0.000 0.000
0.000 5.721 0.000
0.000 0.000 4.185
Rh Au N
2 4 4
Direct
0.000 0.000 0.000
0.500 0.500 0.000
0.169 0.331 0.500
0.331 0.831 0.500
0.669 0.169 0.500
0.831 0.669 0.500
0.197 0.303 0.000
0.303 0.803 0.000
0.697 0.197 0.000
0.803 0.697 0.000

No. 18
RhAu2N | Alexandria via LeMat-Bulk | GGA-PBE | relaxed; magnetic moment = 2.61 Bohr magnetons per cell; space group = No. 122; formation energy (no corrections) = 1.312 eV/atom; energy = -4.25 eV/atom
1.0
-2.520 2.520 6.083
2.520 -2.520 6.083
2.520 2.520 -6.083
Rh Au N
2 4 2
Direct
0.000 0.000 0.000
0.750 0.250 0.500
0.270 0.625 0.145
0.375 0.520 0.645
0.480 0.125 0.855
0.875 0.730 0.355
0.250 0.750 0.500
0.500 0.500 0.000

No. 19
RhAuN | Alexandria via LeMat-Bulk | GGA-PBE | relaxed; magnetic moment = 0.00 Bohr magnetons per cell; space group = No. 139; formation energy (no corrections) = 0.660 eV/atom; energy = -5.66 eV/atom
1.0
-1.459 1.459 9.753
1.459 -1.459 9.753
1.459 1.459 -9.753
Rh Au N
2 2 2
Direct
0.068 0.068 0.000
0.932 0.932 0.000
0.305 0.305 0.000
0.695 0.695 0.000
0.421 0.421 0.000
0.579 0.579 0.000

No. 20
RhAu2N2 | Alexandria via LeMat-Bulk | GGA-PBE | relaxed; magnetic moment = 0.00 Bohr magnetons per cell; space group = No. 139; formation energy (no corrections) = 1.019 eV/atom; energy = -5.09 eV/atom; relative energy among the computed polymorphs = 0.080 eV per atom
1.0
-2.262 2.262 3.765
2.262 -2.262 3.765
2.262 2.262 -3.765
Rh Au N
1 2 2
Direct
0.000 0.000 0.000
0.250 0.750 0.500
0.750 0.250 0.500
0.424 0.424 0.000
0.576 0.576 0.000

No. 21
Rh3AuN | Alexandria via LeMat-Bulk | GGA-PBE | relaxed; magnetic moment = 0.00 Bohr magnetons per cell; space group = No. 221; formation energy (no corrections) = 0.237 eV/atom; energy = -6.49 eV/atom; relative energy among the computed polymorphs = 0.000 eV per atom
1.0
4.105 0.000 0.000
0.000 4.105 0.000
0.000 0.000 4.105
Rh Au N
3 1 1
Direct
0.000 0.000 0.500
0.000 0.500 0.000
0.500 0.000 0.000
0.500 0.500 0.500
0.000 0.000 0.000

No. 22
RhAuS2N | Alexandria via LeMat-Bulk | GGA-PBE | relaxed; magnetic moment = 0.00 Bohr magnetons per cell; space group = No. 123; formation energy (no corrections) = 0.745 eV/atom; energy = -4.70 eV/atom; relative energy among the computed polymorphs = 0.000 eV per atom
1.0
4.897 0.000 0.000
0.000 4.897 0.000
0.000 0.000 3.611
Rh Au S N
1 1 2 1
Direct
0.000 0.000 0.000
0.500 0.500 0.500
0.000 0.500 0.000
0.500 0.000 0.000
0.000 0.000 0.500

No. 23
RhAuS2N | Alexandria via LeMat-Bulk | GGA-PBE | relaxed; magnetic moment = 0.89 Bohr magnetons per cell; space group = No. 123; formation energy (no corrections) = 1.538 eV/atom; energy = -3.90 eV/atom; relative energy among the computed polymorphs = 0.793 eV per atom
1.0
4.979 0.000 0.000
0.000 4.979 0.000
0.000 0.000 3.701
Rh Au S N
1 1 2 1
Direct
0.000 0.000 0.000
0.500 0.500 0.500
0.000 0.500 0.500
0.500 0.000 0.500
0.500 0.500 0.000

No. 24
RhAu2SeN | Alexandria via LeMat-Bulk | GGA-PBE | relaxed; magnetic moment = 3.14 Bohr magnetons per cell; space group = No. 123; formation energy (no corrections) = 1.572 eV/atom; energy = -3.57 eV/atom
1.0
4.993 0.000 0.000
0.000 4.993 0.000
0.000 0.000 4.650
Rh Au Se N
1 2 1 1
Direct
0.000 0.000 0.000
0.000 0.500 0.500
0.500 0.000 0.500
0.000 0.000 0.500
0.500 0.500 0.000

No. 25
Sr6RhAu2N | Alexandria via LeMat-Bulk | GGA-PBE | relaxed; magnetic moment = 0.00 Bohr magnetons per cell; space group = No. 14; formation energy (no corrections) = -0.487 eV/atom; energy = -3.72 eV/atom
1.0
7.240 0.000 0.000
0.000 8.007 0.000
-6.931 0.000 10.618
Sr Rh Au N
12 2 4 2
Direct
0.115 0.032 0.235
0.115 0.468 0.735
0.220 0.703 0.058
0.220 0.797 0.558
0.356 0.173 0.053
0.356 0.327 0.553
0.644 0.673 0.447
0.644 0.827 0.947
0.780 0.203 0.442
0.780 0.297 0.942
0.885 0.532 0.265
0.885 0.968 0.765
0.500 0.000 0.500
0.500 0.500 0.000
0.298 0.100 0.754
0.298 0.400 0.254
0.702 0.600 0.746
0.702 0.900 0.246
0.000 0.000 0.000
0.000 0.500 0.500

No. 26
Sr2RhAuN | Alexandria via LeMat-Bulk | GGA-PBE | relaxed; magnetic moment = 0.00 Bohr magnetons per cell; space group = No. 123; formation energy (no corrections) = -0.657 eV/atom; energy = -5.12 eV/atom
1.0
5.417 0.000 0.000
0.000 5.417 0.000
0.000 0.000 3.838
Sr Rh Au N
2 1 1 1
Direct
0.000 0.500 0.000
0.500 0.000 0.000
0.000 0.000 0.500
0.500 0.500 0.500
0.000 0.000 0.000

No. 27
Tc2RhAuN | Alexandria via LeMat-Bulk | GGA-PBE | relaxed; magnetic moment = 4.34 Bohr magnetons per cell; space group = No. 123; formation energy (no corrections) = 3.072 eV/atom; energy = -4.87 eV/atom
1.0
5.092 0.000 0.000
0.000 5.092 0.000
0.000 0.000 4.929
Tc Rh Au N
2 1 1 1
Direct
0.000 0.500 0.000
0.500 0.000 0.000
0.000 0.000 0.500
0.000 0.000 0.000
0.500 0.500 0.500